1.
DFT (PBE) results for a relaxed structure of La4Tl2Pb.

Results
energy above the lowest structure with this stoichiometry	0.0000	eV/atom
mass density	8.0	g cm⁻³
DOS at the Fermi energy	10.11	states/eV per cell
magnetization	0.0	μB/cell
uncorrected energy	-4.3370	eV/atom
E_form	-0.315	eV/atom

Cell lengths 5.577, 5.577, 9.605 Å; angles 73.12, 73.12, 60.00 degrees
Sites, in units of the cell vectors:
Pb 0.000 0.000 0.000
Tl 0.754 0.754 0.738
Tl 0.246 0.246 0.262
La 0.874 0.874 0.379
La 0.126 0.126 0.621
La 0.621 0.621 0.138
La 0.379 0.379 0.862



2.
DFT (PBE) results for a relaxed structure of La2Tl2Pb.

Results
energy above the lowest structure with this stoichiometry	0.0000	eV/atom
mass density	9.3	g cm⁻³
DOS at the Fermi energy	2.99	states/eV per cell
magnetization	0.0	μB/cell
uncorrected energy	-4.0737	eV/atom
E_form	-0.415	eV/atom

Cell lengths 5.026, 6.588, 10.761 Å; angles 90.82, 76.50, 67.58 degrees
Sites, in units of the cell vectors:
La 0.717 0.217 0.350
La 0.890 0.280 0.940
La 0.283 0.783 0.650
La 0.110 0.720 0.060
Tl 0.086 0.275 0.552
Tl 0.645 0.842 0.869
Tl 0.914 0.725 0.448
Tl 0.355 0.158 0.131
Pb 0.500 0.270 0.730
Pb 0.500 0.730 0.270



3.
DFT (PBE) results for a relaxed structure of La4Tl5Pb.

Results
energy above the lowest structure with this stoichiometry	0.0000	eV/atom
mass density	9.4	g cm⁻³
DOS at the Fermi energy	5.70	states/eV per cell
magnetization	0.0	μB/cell
uncorrected energy	-3.9342	eV/atom
E_form	-0.409	eV/atom

Cell lengths 5.399, 6.910, 9.200 Å; angles 106.09, 107.06, 90.00 degrees
Sites, in units of the cell vectors:
La 0.693 0.249 0.385
La 0.077 0.830 0.153
La 0.307 0.751 0.615
La 0.923 0.170 0.847
Tl 0.300 0.233 0.600
Tl 0.122 0.402 0.243
Tl 0.878 0.598 0.757
Tl 0.500 0.500 0.000
Tl 0.700 0.767 0.400
Pb 0.500 0.000 0.000



4.
DFT (PBE) results for a relaxed structure of La6Tl5Pb.

Results
mass density	9.0	g cm⁻³
DOS at the Fermi energy	8.02	states/eV per cell
magnetization	0.0	μB/cell
uncorrected energy	-4.2121	eV/atom
E_form	-0.453	eV/atom

Cell lengths 9.753, 5.634, 8.935 Å; angles 71.64, 79.49, 54.69 degrees
Sites, in units of the cell vectors:
La 0.748 0.086 0.332
La 0.252 0.582 0.331
La 0.248 0.252 0.000
La 0.752 0.748 0.000
La 0.748 0.418 0.669
La 0.252 0.914 0.668
Tl 0.500 0.166 0.668
Tl 0.000 0.329 0.342
Tl 0.500 0.500 0.000
Tl 0.000 0.671 0.658
Tl 0.500 0.834 0.332
Pb 0.000 0.000 0.000



5.
DFT (PBE) results for a relaxed structure of LaTlPb3.

Results
energy above the lowest structure with this stoichiometry	0.5057	eV/atom
mass density	6.9	g cm⁻³
DOS at the Fermi energy	4.63	states/eV per cell
magnetization	0.0	μB/cell
uncorrected energy	-3.2503	eV/atom
E_form	0.433	eV/atom

Cell lengths 6.152, 6.152, 6.152 Å; angles 90.00, 90.00, 90.00 degrees
Sites, in units of the cell vectors:
Pb 0.000 0.500 0.000
Pb 0.000 0.000 0.500
Pb 0.500 0.000 0.000
Tl 0.500 0.500 0.500
La 0.000 0.000 0.000



6.
DFT (PBE) results for a relaxed structure of La3Tl2Pb.

Results
energy above the lowest structure with this stoichiometry	0.0000	eV/atom
mass density	9.0	g cm⁻³
DOS at the Fermi energy	3.13	states/eV per cell
magnetization	0.0	μB/cell
uncorrected energy	-4.3550	eV/atom
E_form	-0.484	eV/atom

Cell lengths 5.641, 5.641, 6.935 Å; angles 90.00, 90.00, 120.00 degrees
Sites, in units of the cell vectors:
La 0.000 0.000 0.500
La 0.667 0.333 0.848
La 0.333 0.667 0.152
Tl 0.667 0.333 0.352
Tl 0.333 0.667 0.648
Pb 0.000 0.000 0.000



Repeat the second record exactly.
DFT (PBE) results for a relaxed structure of La2Tl2Pb.

Results
energy above the lowest structure with this stoichiometry	0.0000	eV/atom
mass density	9.3	g cm⁻³
DOS at the Fermi energy	2.99	states/eV per cell
magnetization	0.0	μB/cell
uncorrected energy	-4.0737	eV/atom
E_form	-0.415	eV/atom

Cell lengths 5.026, 6.588, 10.761 Å; angles 90.82, 76.50, 67.58 degrees
Sites, in units of the cell vectors:
La 0.717 0.217 0.350
La 0.890 0.280 0.940
La 0.283 0.783 0.650
La 0.110 0.720 0.060
Tl 0.086 0.275 0.552
Tl 0.645 0.842 0.869
Tl 0.914 0.725 0.448
Tl 0.355 0.158 0.131
Pb 0.500 0.270 0.730
Pb 0.500 0.730 0.270



Number 6 is which compound? La3Tl2Pb



uncorrected energy of number 4 (La6Tl5Pb)? -4.2121 eV/atom



Look up the E_form of the second one. -0.415 eV/atom